(1)
DFT (PBE) results for a relaxed structure of PmRuO.

## Properties
total DFT energy (no corrections) = -0.5888 Ry per atom
SG = P4/nmm

Lattice parameters (Å, degrees): 3.445 3.445 8.470 90.00 90.00 90.00
Sites, in units of the cell vectors:
O: 0.837 0.337 0.888
O: 0.337 0.837 0.112
Pm: 0.836 0.336 0.174
Pm: 0.336 0.836 0.826
Ru: 0.836 0.836 0.500
Ru: 0.336 0.336 0.500

(2)
DFT (PBE) results for a relaxed structure of SrBr.

## Properties
total DFT energy (no corrections) = -0.2293 Ry per atom
SG = P2_1/m

Lattice parameters (Å, degrees): 6.043 4.539 7.514 90.00 113.51 90.00
Sites, in units of the cell vectors:
Sr: 0.133 0.250 0.763
Sr: 0.867 0.750 0.237
Br: 0.703 0.250 0.905
Br: 0.297 0.750 0.095

(3)
DFT (PBE) results for a relaxed structure of InGaICl.

## Properties
total DFT energy (no corrections) = -0.2079 Ry per atom
SG = R-3m

Lattice parameters (Å, degrees): 5.555 5.555 11.998 76.61 76.61 60.00
Sites, in units of the cell vectors:
In: 0.119 0.119 0.644
In: 0.881 0.881 0.356
Ga: 0.713 0.713 0.861
Ga: 0.287 0.287 0.139
I: 0.617 0.617 0.150
I: 0.383 0.383 0.850
Cl: 0.799 0.799 0.603
Cl: 0.201 0.201 0.397

(4)
DFT (PBE) results for a relaxed structure of ErCd2In.

## Properties
calculated formation energy = -0.6 eV per formula unit
total DFT energy (no corrections) = -0.1793 Ry per atom
SG = P4/mmm

Lattice parameters (Å, degrees): 3.660 3.660 7.396 90.00 90.00 90.00
Each line ends with the local moment (μB).
Sites, in units of the cell vectors:
Cd: 0.000 0.000 0.740  0.01
Cd: 0.000 0.000 0.260  0.01
In: 0.500 0.500 0.500  0.01
Er: 0.500 0.500 0.000  0.23

(5)
DFT (PBE) results for a relaxed structure of LaMgMo2.

## Properties
calculated formation energy = 2.2 eV per formula unit
total DFT energy (no corrections) = -0.4782 Ry per atom
SG = I-4m2

Lattice parameters (Å, degrees): 4.851 4.851 4.851 119.83 119.83 90.29
Sites, in units of the cell vectors:
La: 0.500 0.500 0.000
Mg: 0.750 0.250 0.500
Mo: 0.000 0.000 0.000
Mo: 0.250 0.750 0.500

(6)
DFT (PBE) results for a relaxed structure of LiSi.

## Properties
total DFT energy (no corrections) = -0.2752 Ry per atom
SG = Pmmn

Lattice parameters (Å, degrees): 3.220 3.424 5.377 90.00 90.00 90.00
Sites, in units of the cell vectors:
Li: 0.000 0.000 0.006
Li: 0.500 0.500 0.744
Si: 0.000 0.000 0.477
Si: 0.500 0.500 0.273

Short version: DOS(E_F) = 3.6; 1.4; 0.0; 2.4; 5.2; 0.5 states/eV/cell, in the order given.